Entry from Alexandria via LeMat-Bulk: a relaxed NpMnGa2O8 crystal (PBE with a Hubbard U).

a = 4.7243 Å, b = 4.7234 Å, c = 6.1358 Å
α = 90.00°, β = 90.00°, γ = 91.84°
With the nearest neighbours (Å) after each atom.
Atoms (fractional coordinates):
Ga: 0.5000 0.5000 0.7344  6 O 1.94-2.10
Ga: 0.5000 0.5000 0.2656  6 O 1.94-2.10
O: 0.6974 0.6976 0.5000  2 Ga 1.94, 1 Mn 1.99
O: 0.8098 0.1904 0.7398  1 Mn 1.96, 1 Np 2.05, 1 Ga 2.10
Np: 0.0000 0.0000 0.0000  6 O 2.05-2.07
O: 0.6852 0.6854 0.0000  2 Ga 2.03, 1 Np 2.07
O: 0.3026 0.3024 0.5000  2 Ga 1.94, 1 Mn 1.99
Mn: 0.0000 0.0000 0.5000  6 O 1.96-1.99
O: 0.1902 0.8096 0.2602  1 Mn 1.96, 1 Np 2.05, 1 Ga 2.10
O: 0.1902 0.8096 0.7398  1 Mn 1.96, 1 Np 2.05, 1 Ga 2.10
O: 0.8098 0.1904 0.2602  1 Mn 1.96, 1 Np 2.05, 1 Ga 2.10
O: 0.3148 0.3146 0.0000  2 Ga 2.03, 1 Np 2.07

Results
As for the total moment: 4.00 Bohr magnetons per cell. The raw total energy comes out at -7.45 eV per atom. The crystal system is orthorhombic.